Here is a relaxed BeCrAg2 crystal from the Alexandria database. Energies are from PBE.

Output
E_form: 0.311 eV/atom
D(E_F): 2.0 states/eV/cell
electronic total energy: -4.45 eV per atom
V: 59.0 Å³ per cell

Cell and atoms, written as CIF:
```
data_BeCrAg2
_cell_length_a 2.900
_cell_length_b 2.909
_cell_length_c 6.992
_cell_angle_alpha 90.00
_cell_angle_beta 90.07
_cell_angle_gamma 90.00
_space_group_name_H-M_alt 'P 1'
_space_group_IT_number 1
loop_
_space_group_symop_operation_xyz
'x,y,z'
loop_
_atom_site_label
_atom_site_fract_x
_atom_site_fract_y
_atom_site_fract_z
Be1 0.000 0.000 0.000
Cr1 0.499 0.500 0.802
Ag1 0.499 0.500 0.214
Ag2 0.999 0.000 0.519
```